[1]
VASP calculation (GGA-PBE) on crystalline AuC2 at its relaxed geometry.

Values from the calculation:
For the offset from the most stable computed form, the calculation gives 1122 meV/atom. As for the space group: Pnnm, No. 58. The magnetization comes out at 0.000 μB/atom. For the formation energy from the elements, the calculation gives 1.39 eV/atom. As for the energy: -35.1 eV for the cell shown.

Cell: 3.9801 5.1093 3.2955 Å, 90.00 90.00 90.00°
Element x y z (fractional)
Au (0.0000, 0.0000, 0.0000)
Au (0.5000, 0.5000, 0.5000)
C (0.1356, 0.4202, 0.0000)
C (0.3644, 0.9202, 0.5000)
C (0.6356, 0.0798, 0.5000)
C (0.8644, 0.5798, 0.0000)

[2]
VASP calculation (GGA-PBE) on crystalline ZnIn2Re at its relaxed geometry.

Values from the calculation:
As for the space group: Pmmm, No. 47. The magnetization comes out at 0.000 μB/atom. For the formation energy from the elements, the calculation gives 0.42 eV/atom. As for the energy: -17.5 eV for the cell shown.

Cell: 3.5598 3.5717 5.7695 Å, 90.00 90.00 90.00°
Element x y z (fractional)
Zn (0.0000, 0.0000, 0.0000)
In (0.5000, 0.5000, 0.2537)
In (0.5000, 0.5000, 0.7463)
Re (0.0000, 0.0000, 0.5000)

[3]
VASP calculation (GGA-PBE) on crystalline Cs4Ge3PbBr12 at its relaxed geometry.

Values from the calculation:
As for the space group: Im-3m, No. 229. The magnetization comes out at 0.000 μB/atom. For the uncorrected formation energy, the calculation gives -1.142 eV/atom. As for the energy: -63.9 eV for the cell shown.

Cell: 9.8822 9.8822 9.8822 Å, 109.47 109.47 109.47°
Element x y z (fractional)
Cs (0.0000, 0.0000, 0.5000)
Cs (0.0000, 0.5000, 0.0000)
Cs (0.5000, 0.0000, 0.0000)
Cs (0.5000, 0.5000, 0.5000)
Ge (0.0000, 0.5000, 0.5000)
Ge (0.5000, 0.0000, 0.5000)
Ge (0.5000, 0.5000, 0.0000)
Pb (0.0000, 0.0000, 0.0000)
Br (0.0000, 0.2597, 0.2597)
Br (0.0000, 0.7403, 0.7403)
Br (0.2500, 0.5000, 0.7500)
Br (0.2500, 0.7500, 0.5000)
Br (0.2597, 0.0000, 0.2597)
Br (0.2597, 0.2597, 0.0000)
Br (0.5000, 0.2500, 0.7500)
Br (0.5000, 0.7500, 0.2500)
Br (0.7403, 0.0000, 0.7403)
Br (0.7403, 0.7403, 0.0000)
Br (0.7500, 0.2500, 0.5000)
Br (0.7500, 0.5000, 0.2500)

[4]
VASP calculation (GGA-PBE) on crystalline AlCdMo2 at its relaxed geometry.

Values from the calculation:
For the offset from the most stable computed form, the calculation gives 40 meV/atom. As for the space group: Cmmm, No. 65. The magnetization comes out at 0.000 μB/atom. For the formation energy from the elements, the calculation gives 0.14 eV/atom. As for the energy: -25.8 eV for the cell shown.

Cell: 2.7524 2.7524 8.9581 Å, 90.00 90.00 102.96°
Element x y z (fractional)
Al (0.0000, 0.0000, 0.0000)
Cd (0.0000, 0.0000, 0.5000)
Mo (0.5000, 0.5000, 0.2320)
Mo (0.5000, 0.5000, 0.7680)

[5]
VASP calculation (GGA-PBE) on crystalline TlIn2Hg3 at its relaxed geometry.

Values from the calculation:
For the offset from the most stable computed form, the calculation gives 9 meV/atom. As for the space group: P6_3/mmc, No. 194. The magnetization comes out at 0.000 μB/atom. For the formation energy from the elements, the calculation gives 0.01 eV/atom. As for the energy: -17.4 eV for the cell shown.

Cell: 3.9802 3.9802 25.1880 Å, 90.00 90.00 120.00°
Element x y z (fractional)
Tl (0.0000, 0.0000, 0.2500)
Tl (0.0000, 0.0000, 0.7500)
In (0.3333, 0.6667, 0.0817)
In (0.3333, 0.6667, 0.4183)
In (0.6667, 0.3333, 0.5817)
In (0.6667, 0.3333, 0.9183)
Hg (0.0000, 0.0000, 0.0000)
Hg (0.0000, 0.0000, 0.5000)
Hg (0.3333, 0.6667, 0.6618)
Hg (0.3333, 0.6667, 0.8382)
Hg (0.6667, 0.3333, 0.1618)
Hg (0.6667, 0.3333, 0.3382)

[6]
VASP calculation (GGA-PBE) on crystalline RbY2Tl2 at its relaxed geometry.

Values from the calculation:
For the offset from the most stable computed form, the calculation gives 213 meV/atom. As for the space group: I4/mmm, No. 139. The magnetization comes out at 0.188 μB/atom. For the formation energy from the elements, the calculation gives 0.08 eV/atom. As for the energy: -18.2 eV for the cell shown.

Cell: 7.8702 7.8702 7.8702 Å, 141.85 141.85 55.06°
Element x y z (fractional)
Rb (0.0000, 0.0000, 0.0000)
Y (0.2500, 0.7500, 0.5000)
Y (0.7500, 0.2500, 0.5000)
Tl (0.3910, 0.3910, 0.0000)
Tl (0.6090, 0.6090, 0.0000)

[7]
VASP calculation (GGA-PBE) on crystalline TmPaZnOs at its relaxed geometry.

Values from the calculation:
As for the space group: F-43m, No. 216. The magnetization comes out at 0.000 μB/atom. For the formation energy from the elements, the calculation gives -0.20 eV/atom. As for the energy: -27.3 eV for the cell shown.

Cell: 4.8921 4.8921 4.8921 Å, 60.00 60.00 60.00°
Element x y z (fractional)
Tm (0.0000, 0.0000, 0.0000)
Pa (0.5000, 0.5000, 0.5000)
Zn (0.7500, 0.7500, 0.7500)
Os (0.2500, 0.2500, 0.2500)

[8]
VASP calculation (GGA-PBE) on crystalline LaHgRu at its relaxed geometry.

Values from the calculation:
As for the space group: F-43m, No. 216. The magnetization comes out at 0.000 μB/atom. For the formation energy from the elements, the calculation gives 0.00 eV/atom. As for the energy: -14.5 eV for the cell shown.

Cell: 4.7615 4.7615 4.7615 Å, 60.00 60.00 60.00°
Element x y z (fractional)
La (0.0000, 0.0000, 0.0000)
Hg (0.5000, 0.5000, 0.5000)
Ru (0.7500, 0.7500, 0.7500)

[9]
VASP calculation (GGA-PBE) on crystalline GeAsP at its relaxed geometry.

Values from the calculation:
For the offset from the most stable computed form, the calculation gives 154 meV/atom. As for the space group: P1, No. 1. The magnetization comes out at 0.000 μB/atom. For the formation energy from the elements, the calculation gives 0.15 eV/atom. As for the energy: -28.4 eV for the cell shown.

Cell: 4.5828 5.3921 5.9555 Å, 77.06 88.85 75.97°
Element x y z (fractional)
Ge (0.0000, 0.0000, 0.0000)
Ge (0.2414, 0.3008, 0.1544)
As (0.4691, 0.6603, 0.9398)
As (0.9440, 0.8254, 0.4399)
P (0.5569, 0.1995, 0.4980)
P (0.7635, 0.5160, 0.2909)

[10]
VASP calculation (GGA-PBE) on crystalline Np2ZnO8 at its relaxed geometry.

Values from the calculation:
As for the space group: C2/m, No. 12. The magnetization comes out at 0.000 μB/atom. For the uncorrected formation energy, the calculation gives -2.182 eV/atom. As for the energy: -90.8 eV for the cell shown.

Cell: 5.6206 5.6206 5.0144 Å, 100.69 100.69 74.62°
Element x y z (fractional)
Np (0.2077, 0.2077, 0.4559)
Np (0.7923, 0.7923, 0.5441)
Zn (0.5000, 0.5000, 0.0000)
O (0.0987, 0.0987, 0.7260)
O (0.1562, 0.5715, 0.6978)
O (0.3318, 0.3318, 0.2071)
O (0.4285, 0.8438, 0.3022)
O (0.5715, 0.1562, 0.6978)
O (0.6682, 0.6682, 0.7929)
O (0.8438, 0.4285, 0.3022)
O (0.9013, 0.9013, 0.2740)

[11]
VASP calculation (GGA-PBE) on crystalline BaPd2Au9 at its relaxed geometry.

Values from the calculation:
As for the space group: I4_1/amd, No. 141. The magnetization comes out at 0.000 μB/atom. For the formation energy from the elements, the calculation gives -0.24 eV/atom. As for the energy: -89.5 eV for the cell shown.

Cell: 8.8858 8.8858 8.8858 Å, 100.07 100.07 130.57°
Element x y z (fractional)
Ba (0.3750, 0.6250, 0.7500)
Ba (0.6250, 0.3750, 0.2500)
Pd (0.0000, 0.0000, 0.0000)
Pd (0.0000, 0.0000, 0.5000)
Pd (0.0000, 0.5000, 0.0000)
Pd (0.5000, 0.0000, 0.5000)
Au (0.1250, 0.8750, 0.2500)
Au (0.1374, 0.5609, 0.3342)
Au (0.1374, 0.8032, 0.5765)
Au (0.1968, 0.2733, 0.3342)
Au (0.1968, 0.8626, 0.9235)
Au (0.2733, 0.1968, 0.8342)
Au (0.2733, 0.4391, 0.0765)
Au (0.4391, 0.2733, 0.5765)
Au (0.4391, 0.8626, 0.1658)
Au (0.5609, 0.1374, 0.8342)
Au (0.5609, 0.7267, 0.4235)
Au (0.7267, 0.5609, 0.9235)
Au (0.7267, 0.8032, 0.1658)
Au (0.8032, 0.1374, 0.0765)
Au (0.8032, 0.7267, 0.6658)
Au (0.8626, 0.1968, 0.4235)
Au (0.8626, 0.4391, 0.6658)
Au (0.8750, 0.1250, 0.7500)

[12]
VASP calculation (GGA-PBE) on crystalline ScCdCl2 at its relaxed geometry.

Values from the calculation:
For the offset from the most stable computed form, the calculation gives 174 meV/atom. As for the space group: Cmmm, No. 65. The magnetization comes out at 0.118 μB/atom. For the uncorrected formation energy, the calculation gives -1.109 eV/atom. As for the energy: -15.4 eV for the cell shown.

Cell: 3.6745 3.6745 10.8373 Å, 90.00 90.00 123.89°
Element x y z (fractional)
Sc (0.0000, 0.0000, 0.0000)
Cd (0.0000, 0.0000, 0.5000)
Cl (0.5000, 0.5000, 0.1669)
Cl (0.5000, 0.5000, 0.8331)

Q: Which value of magnetization does entry 1 give?
A: 0.000 μB/atom